Record 1
A relaxed structure of Ce2TmScAs4. Source: the Alexandria database, functional PBE-GGA.

```
8
Lattice="-0.203 0.626 4.053 -5.907 -3.866 0.301 1.668 -6.817 1.137" Properties=species:S:1:pos:R:3 pbc="T T T"
Ce 1.668 -6.817 1.137
Ce 0.732 -3.096 2.595
As -3.110 -7.958 1.074
As -1.332 -2.100 4.417
As -4.006 -4.301 2.543
As -0.436 -5.757 2.947
Sc -2.119 -5.342 0.719
Tm -1.387 -8.438 3.314
```

formation enthalpy at 0 K: -1.4186 eV/atom
D(E_F): 10.99 states/eV/f.u.
spin magnetization: 1.2 Bohr magnetons per cell

Record 2
A relaxed structure of Ce3Tm2ScAs6. Source: the Alexandria database, functional PBE-GGA.

```
12
Lattice="-4.841 4.642 -2.429 3.399 -4.317 -4.550 -4.315 -4.704 3.107" Properties=species:S:1:pos:R:3 pbc="T T T"
As -3.639 -3.497 0.635
As -0.025 -2.506 -1.304
Sc 0.000 0.000 0.000
Ce -0.144 -5.163 -2.640
Tm 0.648 -1.326 -3.842
Ce -5.613 0.784 -1.232
As -3.033 -4.809 -3.262
As -2.725 0.430 -0.610
Ce -2.879 -2.189 -1.936
As -2.118 -0.882 -4.506
As -5.733 -1.873 -2.568
Tm -2.090 1.651 -3.137
```

formation enthalpy at 0 K: -1.4320 eV/atom
D(E_F): 16.75 states/eV/f.u.
spin magnetization: 1.9 Bohr magnetons per cell

Record 3
A relaxed structure of CeTm2Sc3As6. Source: the Alexandria database, functional PBE-GGA.

```
12
Lattice="-2.581 -4.967 4.085 5.850 3.259 1.783 -4.561 5.032 1.275" Properties=species:S:1:pos:R:3 pbc="T T T"
Sc 2.172 4.412 2.803
Sc -3.465 -1.088 4.341
As -2.344 1.049 5.690
Sc -0.646 1.662 3.572
As 1.051 2.275 1.453
As -2.551 3.287 2.402
Tm 3.041 0.518 2.550
Ce 0.000 0.000 0.000
As -1.785 -0.492 2.227
As 0.492 3.816 4.916
Tm 0.228 -2.226 3.318
As 1.258 0.037 4.742
```

formation enthalpy at 0 K: -1.4190 eV/atom
D(E_F): 5.48 states/eV/f.u.
spin magnetization: 0.4 Bohr magnetons per cell

Record 4
A relaxed structure of Ce2ScUAs4. Source: the Alexandria database, functional PBE-GGA.

```
8
Lattice="4.100 0.000 0.000 0.000 7.113 0.136 0.000 -2.473 6.659" Properties=species:S:1:pos:R:3 pbc="T T T"
Ce 2.050 -1.237 3.330
As 2.050 1.129 1.584
As 2.050 3.511 5.212
Ce 0.000 2.320 3.398
U 2.050 3.557 0.068
As 0.000 4.764 1.677
As 0.000 -0.123 5.119
Sc 0.000 0.000 0.000
```

formation enthalpy at 0 K: -1.2212 eV/atom
D(E_F): 15.85 states/eV/f.u.
spin magnetization: 3.9 Bohr magnetons per cell

Record 5
A relaxed structure of CeSc2UAs4. Source: the Alexandria database, functional PBE-GGA.

```
8
Lattice="4.015 0.000 0.000 0.000 6.970 0.124 0.000 -2.431 6.513" Properties=species:S:1:pos:R:3 pbc="T T T"
As 2.008 3.435 4.875
As 0.000 4.651 1.835
Sc 2.008 -1.215 3.257
Sc 0.000 2.270 3.318
Ce 2.008 3.485 0.062
U 0.000 0.000 0.000
As 0.000 -0.111 4.801
As 2.008 1.104 1.762
```

formation enthalpy at 0 K: -1.2146 eV/atom
D(E_F): 11.83 states/eV/f.u.
spin magnetization: 3.1 Bohr magnetons per cell

Record 6
A relaxed structure of CeScU2As4. Source: the Alexandria database, functional PBE-GGA.

```
8
Lattice="-3.669 1.567 0.662 -2.660 -6.525 0.698 2.125 2.309 6.311" Properties=species:S:1:pos:R:3 pbc="T T T"
As -1.991 -0.330 2.098
As -2.213 -2.319 5.573
U -0.772 1.938 3.486
U -0.268 -2.108 3.504
Ce 0.000 0.000 0.000
As -1.445 -4.256 2.062
Sc -3.165 -2.479 0.680
As 0.910 0.040 4.947
```

formation enthalpy at 0 K: -1.0180 eV/atom
D(E_F): 19.16 states/eV/f.u.
spin magnetization: 0.4 Bohr magnetons per cell

Record 7
A relaxed structure of CeYSc2As4. Source: the Alexandria database, functional PBE-GGA.

```
8
Lattice="-3.488 -1.262 1.588 0.189 -5.631 -4.059 3.369 -5.149 3.308" Properties=species:S:1:pos:R:3 pbc="T T T"
As -0.773 -6.208 -1.503
As 2.646 -8.148 -0.662
As -2.576 -3.894 1.499
Y 1.779 -5.390 -0.376
Sc 3.369 -5.149 3.308
Ce -1.650 -3.447 -1.235
Sc -0.060 -3.205 2.448
As 0.842 -5.834 2.340
```

formation enthalpy at 0 K: -1.4207 eV/atom
D(E_F): 5.85 states/eV/f.u.
spin magnetization: 0.5 Bohr magnetons per cell

Record 8
A relaxed structure of Ce2YSc3As6. Source: the Alexandria database, functional PBE-GGA.

```
12
Lattice="-4.733 5.145 0.440 0.665 -4.603 5.238 5.820 3.684 0.937" Properties=species:S:1:pos:R:3 pbc="T T T"
Y 0.000 0.000 0.000
As -0.379 2.742 0.902
Ce -2.933 1.894 2.040
Sc -0.921 5.360 1.710
As 3.270 2.825 2.061
As 1.414 -0.496 2.495
Sc 2.674 -1.133 4.905
As -1.517 1.401 4.554
As 2.132 1.485 5.713
Sc 0.876 2.113 3.307
As 0.339 4.722 4.119
Ce -1.135 -1.352 3.638
```

formation enthalpy at 0 K: -1.4100 eV/atom
D(E_F): 11.43 states/eV/f.u.
spin magnetization: 1.0 Bohr magnetons per cell